No. 1
# MnAg2Cl

A geometry-optimized MnAg2Cl structure (GGA-PBE, Alexandria).

Formation energy (no corrections) (eV/f.u.): -0.2
Energy above the most stable polymorph in this dataset (meV per atom): 1

Cell lengths 8.935, 8.935, 8.935 Å; angles 20.74, 20.74, 20.74 degrees
Last column: magnetic moment on the atom in μB.
Positions (direct):
Ag: 0.008 0.008 0.008  0.04
Ag: 0.258 0.258 0.258  0.01
Cl: 0.481 0.481 0.481  0.09
Mn: 0.752 0.752 0.752  3.99

***

No. 2
# MnAgCl6

A geometry-optimized MnAgCl6 structure (GGA-PBE, Alexandria).

Formation energy (no corrections) (eV/f.u.): -4.6

Cell lengths 5.773, 7.095, 6.972 Å; angles 54.60, 69.73, 66.98 degrees
Last column: magnetic moment on the atom in μB.
Positions (direct):
Cl: 0.808 0.113 0.693  0.06
Mn: 0.000 0.000 0.000  2.86
Cl: 0.651 0.179 0.154  0.12
Cl: 0.349 0.821 0.846  0.12
Cl: 0.887 0.639 0.215  0.08
Ag: 0.500 0.500 0.500  0.19
Cl: 0.113 0.361 0.785  0.08
Cl: 0.192 0.887 0.307  0.06

***

No. 3
# Mn2Ag5Cl12

A geometry-optimized Mn2Ag5Cl12 structure (GGA-PBE, Alexandria).

Formation energy (no corrections) (eV/f.u.): -11.9

Cell lengths 7.239, 7.848, 9.515 Å; angles 104.54, 90.00, 117.46 degrees
Last column: magnetic moment on the atom in μB.
Positions (direct):
Ag: 0.298 0.596 0.258  -0.02
Cl: 0.580 0.674 0.860  -0.01
Cl: 0.040 0.080 0.849  0.05
Mn: 0.245 0.000 0.000  3.69
Ag: 0.000 0.000 0.500  0.00
Cl: 0.621 0.731 0.460  -0.01
Ag: 0.304 0.608 0.621  -0.01
Cl: 0.094 0.674 0.860  -0.01
Cl: 0.538 0.076 0.846  0.03
Ag: 0.696 0.392 0.379  -0.01
Mn: 0.755 0.000 0.000  3.69
Cl: 0.379 0.269 0.540  -0.01
Cl: 0.890 0.269 0.540  -0.01
Ag: 0.702 0.404 0.742  -0.02
Cl: 0.960 0.920 0.151  0.05
Cl: 0.110 0.731 0.460  -0.01
Cl: 0.906 0.326 0.140  -0.01
Cl: 0.462 0.924 0.154  0.03
Cl: 0.420 0.326 0.140  -0.01

***

No. 4
# MnAg2Cl

A geometry-optimized MnAg2Cl structure (GGA-PBE, Alexandria).

Formation energy (no corrections) (eV/f.u.): 0.5
Energy above the most stable polymorph in this dataset (meV per atom): 176

Cell lengths 6.720, 6.720, 4.212 Å; angles 71.76, 71.76, 26.06 degrees
Last column: magnetic moment on the atom in μB.
Positions (direct):
Cl: 0.750 0.750 0.750  0.05
Mn: 0.250 0.250 0.250  3.98
Ag: 0.953 0.953 0.047  0.00
Ag: 0.547 0.547 0.453  0.00